# AsPbI2O PBE-GGA optimized geometry
data_AsPbI2O
_chemical_formula_sum 'As1 Pb1 I2 O1'
_cell_length_a 6.052
_cell_length_b 6.052
_cell_length_c 3.864
_cell_angle_alpha 90.00
_cell_angle_beta 90.00
_cell_angle_gamma 90.00
_space_group_name_H-M_alt 'P 4/m m m'
_space_group_IT_number 123
_space_group_name_Hall '-P 4 2'
loop_
_atom_site_label
_atom_site_fract_x
_atom_site_fract_y
_atom_site_fract_z
As1 0.000 0.000 0.000
Pb1 0.500 0.500 0.500
I1 0.000 0.500 0.000
O1 0.000 0.000 0.500
# - Total energy: -3.530 eV per atom